(1)
This record from Alexandria describes a geometry-optimized BeSb4W structure. The functional is PBE-GGA.

space-group type	No. 216

Unit cell a=5.962 b=5.962 c=5.962 alpha=60.00 beta=60.00 gamma=60.00
Sites, in units of the cell vectors:
Sb  0.375  0.375  0.874
Sb  0.375  0.874  0.375
Sb  0.874  0.375  0.375
Sb  0.375  0.375  0.375
W  0.750  0.750  0.750
Be  0.000  0.000  0.000

---

(2)
This record from Alexandria describes a geometry-optimized BeSbW2 structure. The functional is PBE-GGA.

space-group type	No. 35
relative energy among the computed polymorphs	362.1	meV/atom

Unit cell a=2.848 b=2.848 c=9.046 alpha=90.00 beta=90.00 gamma=107.60
Sites, in units of the cell vectors:
Sb  0.500  0.500  0.761
W  0.500  0.500  0.263
W  0.000  0.000  0.026
Be  0.000  0.000  0.450

---

(3)
This record from Alexandria describes a geometry-optimized BeSbW2 structure. The functional is PBE-GGA.

space-group type	No. 166
relative energy among the computed polymorphs	319.0	meV/atom

Unit cell a=6.950 b=6.950 c=6.950 alpha=27.76 beta=27.76 gamma=27.76
Sites, in units of the cell vectors:
W  0.975  0.975  0.975
W  0.525  0.525  0.525
Be  0.250  0.250  0.250
Sb  0.750  0.750  0.750

---

(4)
This record from Alexandria describes a geometry-optimized BeSbW2 structure. The functional is PBE-GGA.

space-group type	No. 225
relative energy among the computed polymorphs	513.5	meV/atom

Unit cell a=4.460 b=4.460 c=4.460 alpha=60.00 beta=60.00 gamma=60.00
Sites, in units of the cell vectors:
Be  0.000  0.000  0.000
Sb  0.500  0.500  0.500
W  0.750  0.750  0.750
W  0.250  0.250  0.250

---

Q: Which energy relative to the elements, uncorrected values were calculated for the entries above? A: 9.02, 2.37, 2.19, 2.97, in eV per formula unit.
Q: Which raw total energy values were calculated for the entries above? A: -4.024, -7.847, -7.890, -7.696, in eV per atom.